Record 1
Density functional theory data (PBE) for a geometry-optimized Tm2In2BIr4 structure.

Summary:
Fermi-level density of states = 1.696 states/eV/f.u.
Raw total energy = -6.721 eV per atom

The structure in CIF format:
```
data_Tm2In2BIr4
_space_group_name_H-M_alt 'I 4/m m m'
_space_group_IT_number 139
_space_group_name_Hall '-I 4 2'
_cell_length_a 6.105
_cell_length_b 6.105
_cell_length_c 8.452
_cell_angle_alpha 90.00
_cell_angle_beta 90.00
_cell_angle_gamma 90.00
loop_
_atom_site_label
_atom_site_type_symbol
_atom_site_fract_x
_atom_site_fract_y
_atom_site_fract_z
_atom_site_occupancy
Tm1 Tm 0.000 0.000 0.206 1
In1 In 0.000 0.500 0.250 1
B1 B 0.000 0.000 0.500 1
Ir1 Ir 0.241 0.241 0.500 1
```

***

Record 2
Density functional theory data (PBE) for a geometry-optimized UInB2Ir5 structure.

Summary:
Fermi-level density of states = 8.377 states/eV/f.u.
Raw total energy = -8.241 eV per atom

The structure in CIF format:
```
data_UInB2Ir5
_space_group_name_H-M_alt 'P 4/m m m'
_space_group_IT_number 123
_space_group_name_Hall '-P 4 2'
_cell_length_a 4.083
_cell_length_b 4.083
_cell_length_c 8.432
_cell_angle_alpha 90.00
_cell_angle_beta 90.00
_cell_angle_gamma 90.00
loop_
_atom_site_label
_atom_site_type_symbol
_atom_site_fract_x
_atom_site_fract_y
_atom_site_fract_z
_atom_site_occupancy
U1 U 0.000 0.000 0.000 1
In1 In 0.000 0.000 0.500 1
B1 B 0.500 0.500 0.307 1
Ir1 Ir 0.000 0.500 0.248 1
Ir2 Ir 0.500 0.500 0.000 1
```

***

Record 3
Density functional theory data (PBE) for a geometry-optimized Y2InB2Ir5 structure.

Summary:
Fermi-level density of states = 3.044 states/eV/f.u.
Raw total energy = -7.997 eV per atom

The structure in CIF format:
```
data_Y2InB2Ir5
_space_group_name_H-M_alt 'P 4/m b m'
_space_group_IT_number 127
_space_group_name_Hall '-P 4 2ab'
_cell_length_a 9.766
_cell_length_b 9.766
_cell_length_c 3.220
_cell_angle_alpha 90.00
_cell_angle_beta 90.00
_cell_angle_gamma 90.00
loop_
_atom_site_label
_atom_site_type_symbol
_atom_site_fract_x
_atom_site_fract_y
_atom_site_fract_z
_atom_site_occupancy
Y1 Y 0.177 0.323 0.000 1
In1 In 0.000 0.000 0.000 1
B1 B 0.120 0.620 0.000 1
Ir1 Ir 0.000 0.500 0.500 1
Ir2 Ir 0.069 0.773 0.500 1
```

***

Record 4
Density functional theory data (PBE) for a geometry-optimized ZnIn2B2Ir5 structure.

Summary:
Fermi-level density of states = 1.198 states/eV/f.u.
Raw total energy = -6.612 eV per atom

The structure in CIF format:
```
data_ZnIn2B2Ir5
_space_group_name_H-M_alt 'P 4/m b m'
_space_group_IT_number 127
_space_group_name_Hall '-P 4 2ab'
_cell_length_a 9.661
_cell_length_b 9.661
_cell_length_c 2.975
_cell_angle_alpha 90.00
_cell_angle_beta 90.00
_cell_angle_gamma 90.00
loop_
_atom_site_label
_atom_site_type_symbol
_atom_site_fract_x
_atom_site_fract_y
_atom_site_fract_z
_atom_site_occupancy
Zn1 Zn 0.000 0.000 0.000 1
In1 In 0.178 0.322 0.000 1
B1 B 0.126 0.626 0.000 1
Ir1 Ir 0.000 0.500 0.500 1
Ir2 Ir 0.070 0.783 0.500 1
```

***

Record 5
Density functional theory data (PBE) for a geometry-optimized KInB3 structure.

Summary:
Fermi-level density of states = 3.560 states/eV/f.u.
Raw total energy = -1.727 eV per atom
Energy relative to the lowest polymorph listed for this composition = 1088.1 meV per atom

The structure in CIF format:
```
data_KInB3
_space_group_name_H-M_alt 'P m -3 m'
_space_group_IT_number 221
_space_group_name_Hall '-P 4 2 3'
_cell_length_a 4.939
_cell_length_b 4.939
_cell_length_c 4.939
_cell_angle_alpha 90.00
_cell_angle_beta 90.00
_cell_angle_gamma 90.00
loop_
_atom_site_label
_atom_site_type_symbol
_atom_site_fract_x
_atom_site_fract_y
_atom_site_fract_z
_atom_site_occupancy
K1 K 0.000 0.000 0.000 1
In1 In 0.500 0.500 0.500 1
B1 B 0.000 0.000 0.500 1
```

***

Record 6
Density functional theory data (PBE) for a geometry-optimized K2InB structure.

Summary:
Fermi-level density of states = 1.389 states/eV/f.u.
Raw total energy = -2.428 eV per atom
Energy relative to the lowest polymorph listed for this composition = 0.0 meV per atom

The structure in CIF format:
```
data_K2InB
_space_group_name_H-M_alt 'I -4 2 d'
_space_group_IT_number 122
_space_group_name_Hall 'I -4 2bw'
_cell_length_a 12.631
_cell_length_b 12.631
_cell_length_c 4.261
_cell_angle_alpha 90.00
_cell_angle_beta 90.00
_cell_angle_gamma 90.00
loop_
_atom_site_label
_atom_site_type_symbol
_atom_site_fract_x
_atom_site_fract_y
_atom_site_fract_z
_atom_site_occupancy
K1 K 0.041 0.250 0.125 1
In1 In 0.000 0.000 0.500 1
B1 B 0.000 0.000 0.000 1
```

***

Record 7
Density functional theory data (PBE) for a geometry-optimized KInB3 structure.

Summary:
Fermi-level density of states = 2.377 states/eV/f.u.
Raw total energy = -2.815 eV per atom
Energy relative to the lowest polymorph listed for this composition = 0.0 meV per atom

The structure in CIF format:
```
data_KInB3
_space_group_name_H-M_alt 'P m -3 m'
_space_group_IT_number 221
_space_group_name_Hall '-P 4 2 3'
_cell_length_a 4.709
_cell_length_b 4.709
_cell_length_c 4.709
_cell_angle_alpha 90.00
_cell_angle_beta 90.00
_cell_angle_gamma 90.00
loop_
_atom_site_label
_atom_site_type_symbol
_atom_site_fract_x
_atom_site_fract_y
_atom_site_fract_z
_atom_site_occupancy
K1 K 0.000 0.000 0.000 1
In1 In 0.500 0.500 0.500 1
B1 B 0.000 0.500 0.500 1
```

***

Record 8
Density functional theory data (PBE) for a geometry-optimized KIn2B structure.

Summary:
Fermi-level density of states = 2.347 states/eV/f.u.
Raw total energy = -2.798 eV per atom
Energy relative to the lowest polymorph listed for this composition = 0.0 meV per atom

The structure in CIF format:
```
data_KIn2B
_space_group_name_H-M_alt 'I 41/a m d'
_space_group_IT_number 141
_cell_length_a 7.288
_cell_length_b 7.288
_cell_length_c 10.193
_cell_angle_alpha 90.00
_cell_angle_beta 90.00
_cell_angle_gamma 90.00
loop_
_space_group_symop_operation_xyz
'x,y,z'
'-x,-y,-z'
'-y+1/4,x+3/4,z+1/4'
'y+1/4,-x+3/4,-z+1/4'
'-x+1/2,-y,z+1/2'
'x+1/2,y,-z+1/2'
'y+1/4,-x+1/4,z+3/4'
'-y+1/4,x+1/4,-z+3/4'
'x,-y,-z'
'-x,y,z'
'-y+1/4,-x+1/4,-z+3/4'
'y+1/4,x+1/4,z+3/4'
'-x+1/2,y,-z+1/2'
'x+1/2,-y,z+1/2'
'y+1/4,x+3/4,-z+1/4'
'-y+1/4,-x+3/4,z+1/4'
'x+1/2,y+1/2,z+1/2'
'-x+1/2,-y+1/2,-z+1/2'
'-y+3/4,x+1/4,z+3/4'
'y+3/4,-x+1/4,-z+3/4'
'-x,-y+1/2,z'
'x,y+1/2,-z'
'y+3/4,-x+3/4,z+1/4'
'-y+3/4,x+3/4,-z+1/4'
'x+1/2,-y+1/2,-z+1/2'
'-x+1/2,y+1/2,z+1/2'
'-y+3/4,-x+3/4,-z+1/4'
'y+3/4,x+3/4,z+1/4'
'-x,y+1/2,-z'
'x,-y+1/2,z'
'y+3/4,x+1/4,-z+3/4'
'-y+3/4,-x+1/4,z+3/4'
loop_
_atom_site_label
_atom_site_type_symbol
_atom_site_fract_x
_atom_site_fract_y
_atom_site_fract_z
_atom_site_occupancy
K1 K 0.000 0.250 0.375 1
In1 In 0.000 0.000 0.000 1
B1 B 0.000 0.250 0.875 1
```

***

Record 9
Density functional theory data (PBE) for a geometry-optimized KIn2B2 structure.

Summary:
Fermi-level density of states = 1.656 states/eV/f.u.
Raw total energy = -2.847 eV per atom
Energy relative to the lowest polymorph listed for this composition = 320.8 meV per atom

The structure in CIF format:
```
data_KIn2B2
_space_group_name_H-M_alt 'P 4/m b m'
_space_group_IT_number 127
_space_group_name_Hall '-P 4 2ab'
_cell_length_a 8.004
_cell_length_b 8.004
_cell_length_c 2.978
_cell_angle_alpha 90.00
_cell_angle_beta 90.00
_cell_angle_gamma 90.00
loop_
_atom_site_label
_atom_site_type_symbol
_atom_site_fract_x
_atom_site_fract_y
_atom_site_fract_z
_atom_site_occupancy
K1 K 0.000 0.000 0.000 1
In1 In 0.134 0.366 0.000 1
B1 B 0.151 0.651 0.500 1
```

***

Record 10
Density functional theory data (PBE) for a geometry-optimized KIn2B2 structure.

Summary:
Fermi-level density of states = 2.350 states/eV/f.u.
Raw total energy = -3.168 eV per atom
Energy relative to the lowest polymorph listed for this composition = 0.0 meV per atom

The structure in CIF format:
```
data_KIn2B2
_space_group_name_H-M_alt 'I 4/m m m'
_space_group_IT_number 139
_space_group_name_Hall '-I 4 2'
_cell_length_a 4.416
_cell_length_b 4.416
_cell_length_c 10.550
_cell_angle_alpha 90.00
_cell_angle_beta 90.00
_cell_angle_gamma 90.00
loop_
_atom_site_label
_atom_site_type_symbol
_atom_site_fract_x
_atom_site_fract_y
_atom_site_fract_z
_atom_site_occupancy
K1 K 0.000 0.000 0.000 1
In1 In 0.000 0.000 0.350 1
B1 B 0.000 0.500 0.250 1
```